*P*
! TmTiPb (PBE, optimized geometry); values from VASP
! DOS at the Fermi energy = 3.5 states/eV/cell
! ρ = 9.54 Mg/m³
&SYSTEM
  ibrav = 0, nat = 3, ntyp = 3
/
ATOMIC_SPECIES
Tm 168.93 Tm.upf
Ti 47.87 Ti.upf
Pb 207.20 Pb.upf
CELL_PARAMETERS angstrom
5.0308 0.0000 0.0000
-2.5154 4.3568 0.0000
0.0000 0.0000 3.3660
ATOMIC_POSITIONS angstrom
Tm 0.0000 0.0000 0.0000
Ti 2.5154 1.4523 1.6786
Pb 0.0000 2.9045 1.6851

*Q*
! TmTiPb (PBE, optimized geometry); values from VASP
! DOS at the Fermi energy = 5.6 states/eV/cell
! ρ = 9.87 Mg/m³
&SYSTEM
  ibrav = 0, nat = 3, ntyp = 3
/
ATOMIC_SPECIES
Tm 168.93 Tm.upf
Ti 47.87 Ti.upf
Pb 207.20 Pb.upf
CELL_PARAMETERS angstrom
-1.8057 1.8057 5.4674
1.8057 -1.8057 5.4674
1.8057 1.8057 -5.4674
ATOMIC_POSITIONS angstrom
Tm 0.0000 0.0000 0.0000
Ti 0.0000 0.0000 3.6409
Pb 0.0000 0.0000 7.5292

*R*
! TmTiPb (PBE, optimized geometry); values from VASP
! DOS at the Fermi energy = 4.8 states/eV/cell
! ρ = 9.67 Mg/m³
&SYSTEM
  ibrav = 0, nat = 6, ntyp = 3
/
ATOMIC_SPECIES
Tm 168.93 Tm.upf
Ti 47.87 Ti.upf
Pb 207.20 Pb.upf
CELL_PARAMETERS angstrom
4.2859 0.0000 0.0000
0.0000 4.2859 0.0000
0.0000 0.0000 7.9271
ATOMIC_POSITIONS angstrom
Tm 1.0715 1.0715 1.3352
Tm 3.2144 3.2144 6.5919
Ti 1.0715 3.2144 3.9635
Ti 3.2144 1.0715 3.9635
Pb 1.0715 1.0715 6.0381
Pb 3.2144 3.2144 1.8890

*S*
! TmTiPb (PBE, optimized geometry); values from VASP
! DOS at the Fermi energy = 5.0 states/eV/cell
! ρ = 9.59 Mg/m³
&SYSTEM
  ibrav = 0, nat = 6, ntyp = 3
/
ATOMIC_SPECIES
Tm 168.93 Tm.upf
Ti 47.87 Ti.upf
Pb 207.20 Pb.upf
CELL_PARAMETERS angstrom
-2.1526 2.1526 7.9210
2.1526 -2.1526 7.9210
2.1526 2.1526 -7.9210
ATOMIC_POSITIONS angstrom
Tm 0.0000 0.0000 2.6572
Tm 0.0000 0.0000 13.1848
Ti 2.1526 0.0000 0.0000
Ti 0.0000 2.1526 0.0000
Pb 0.0000 0.0000 5.8367
Pb 0.0000 0.0000 10.0053

Stability summary - winner: *R*; margin: 23 meV/atom.

*P*
! Tm2TiPb (PBE, optimized geometry); values from VASP
! DOS at the Fermi energy = 4.2 states/eV/cell
! ρ = 9.74 Mg/m³
&SYSTEM
  ibrav = 0, nat = 4, ntyp = 3
/
ATOMIC_SPECIES
Tm 168.93 Tm.upf
Ti 47.87 Ti.upf
Pb 207.20 Pb.upf
CELL_PARAMETERS angstrom
4.8602 0.0000 0.0000
0.0000 4.8602 0.0000
0.0000 0.0000 4.2780
ATOMIC_POSITIONS angstrom
Tm 0.0000 2.4301 0.0000
Tm 2.4301 0.0000 0.0000
Ti 0.0000 0.0000 2.1390
Pb 2.4301 2.4301 2.1390

*Q*
! Tm2TiPb (PBE, optimized geometry); values from VASP
! DOS at the Fermi energy = 5.4 states/eV/cell
! ρ = 9.62 Mg/m³
&SYSTEM
  ibrav = 0, nat = 4, ntyp = 3
/
ATOMIC_SPECIES
Tm 168.93 Tm.upf
Ti 47.87 Ti.upf
Pb 207.20 Pb.upf
CELL_PARAMETERS angstrom
3.7447 0.0000 0.0000
0.0000 3.7447 0.0000
0.0000 0.0000 7.3001
ATOMIC_POSITIONS angstrom
Tm 0.0000 0.0000 1.6994
Tm 0.0000 0.0000 5.6007
Ti 1.8724 1.8724 0.0000
Pb 1.8724 1.8724 3.6500

Stability summary - winner: *P*; margin: 12 meV/atom.

*P*
! TiV3Pb (PBE, optimized geometry); values from VASP
! DOS at the Fermi energy = 15.3 states/eV/cell
! ρ = 5.29 Mg/m³
&SYSTEM
  ibrav = 0, nat = 5, ntyp = 3
/
ATOMIC_SPECIES
Ti 47.87 Ti.upf
V 50.94 V.upf
Pb 207.20 Pb.upf
CELL_PARAMETERS angstrom
5.0418 0.0000 0.0000
0.0000 5.0418 0.0000
0.0000 0.0000 5.0418
ATOMIC_POSITIONS angstrom
Ti 0.0000 0.0000 0.0000
V 0.0000 2.5209 2.5209
V 2.5209 0.0000 2.5209
V 2.5209 2.5209 0.0000
Pb 2.5209 2.5209 2.5209

*Q*
! TiV3Pb (PBE, optimized geometry); values from VASP
! DOS at the Fermi energy = 5.3 states/eV/cell
! ρ = 7.44 Mg/m³
&SYSTEM
  ibrav = 0, nat = 5, ntyp = 3
/
ATOMIC_SPECIES
Ti 47.87 Ti.upf
V 50.94 V.upf
Pb 207.20 Pb.upf
CELL_PARAMETERS angstrom
4.4984 0.0000 0.0000
0.0000 4.4984 0.0000
0.0000 0.0000 4.4984
ATOMIC_POSITIONS angstrom
Ti 0.0000 0.0000 0.0000
V 0.0000 0.0000 2.2492
V 0.0000 2.2492 0.0000
V 2.2492 0.0000 0.0000
Pb 2.2492 2.2492 2.2492

Stability summary - winner: *Q*; margin: 818 meV/atom.

*P*
! Y3TiPb (PBE, optimized geometry); values from VASP
! DOS at the Fermi energy = 20.8 states/eV/cell
! ρ = 4.64 Mg/m³
&SYSTEM
  ibrav = 0, nat = 5, ntyp = 3
/
ATOMIC_SPECIES
Y 88.91 Y.upf
Ti 47.87 Ti.upf
Pb 207.20 Pb.upf
CELL_PARAMETERS angstrom
5.7151 0.0000 0.0000
0.0000 5.7151 0.0000
0.0000 0.0000 5.7151
ATOMIC_POSITIONS angstrom
Y 0.0000 0.0000 2.8575
Y 0.0000 2.8575 0.0000
Y 2.8575 0.0000 0.0000
Ti 2.8575 2.8575 2.8575
Pb 0.0000 0.0000 0.0000

*Q*
! Y3TiPb (PBE, optimized geometry); values from VASP
! DOS at the Fermi energy = 4.5 states/eV/cell
! ρ = 5.63 Mg/m³
&SYSTEM
  ibrav = 0, nat = 5, ntyp = 3
/
ATOMIC_SPECIES
Y 88.91 Y.upf
Ti 47.87 Ti.upf
Pb 207.20 Pb.upf
CELL_PARAMETERS angstrom
5.3603 0.0000 0.0000
0.0000 5.3603 0.0000
0.0000 0.0000 5.3603
ATOMIC_POSITIONS angstrom
Y 0.0000 0.0000 2.6802
Y 0.0000 2.6802 0.0000
Y 2.6802 0.0000 0.0000
Ti 0.0000 0.0000 0.0000
Pb 2.6802 2.6802 2.6802

Stability summary - winner: *Q*; margin: 430 meV/atom.

*P*
! YTi2Pb2 (PBE, optimized geometry); values from VASP
! DOS at the Fermi energy = 5.0 states/eV/cell
! ρ = 8.05 Mg/m³
&SYSTEM
  ibrav = 0, nat = 5, ntyp = 3
/
ATOMIC_SPECIES
Y 88.91 Y.upf
Ti 47.87 Ti.upf
Pb 207.20 Pb.upf
CELL_PARAMETERS angstrom
-2.3867 2.3867 5.4217
2.3867 -2.3867 5.4217
2.3867 2.3867 -5.4217
ATOMIC_POSITIONS angstrom
Y 0.0000 0.0000 0.0000
Ti 0.0000 0.0000 4.4015
Ti 0.0000 0.0000 6.4420
Pb 2.3867 0.0000 2.7109
Pb 0.0000 2.3867 2.7109

*Q*
! YTi2Pb2 (PBE, optimized geometry); values from VASP
! DOS at the Fermi energy = 10.9 states/eV/cell
! ρ = 8.63 Mg/m³
&SYSTEM
  ibrav = 0, nat = 10, ntyp = 3
/
ATOMIC_SPECIES
Y 88.91 Y.upf
Ti 47.87 Ti.upf
Pb 207.20 Pb.upf
CELL_PARAMETERS angstrom
8.4571 0.0000 0.0000
0.0000 8.4571 0.0000
0.0000 0.0000 3.2245
ATOMIC_POSITIONS angstrom
Y 0.0000 0.0000 0.0000
Y 4.2286 4.2286 0.0000
Ti 0.9472 3.2814 0.0000
Ti 3.2814 7.5100 0.0000
Ti 5.1757 0.9472 0.0000
Ti 7.5100 5.1757 0.0000
Pb 1.5293 5.7579 1.6123
Pb 2.6992 1.5293 1.6123
Pb 5.7579 6.9278 1.6123
Pb 6.9278 2.6992 1.6123

*R*
! YTi2Pb2 (PBE, optimized geometry); values from VASP
! DOS at the Fermi energy = 10.8 states/eV/cell
! ρ = 8.47 Mg/m³
&SYSTEM
  ibrav = 0, nat = 10, ntyp = 3
/
ATOMIC_SPECIES
Y 88.91 Y.upf
Ti 47.87 Ti.upf
Pb 207.20 Pb.upf
CELL_PARAMETERS angstrom
8.3607 0.0000 0.0000
0.0000 8.3607 0.0000
0.0000 0.0000 3.3597
ATOMIC_POSITIONS angstrom
Y 0.0000 0.0000 0.0000
Y 4.1804 4.1804 0.0000
Ti 1.0982 3.0822 1.6799
Ti 3.0822 7.2626 1.6799
Ti 5.2785 1.0982 1.6799
Ti 7.2626 5.2785 1.6799
Pb 1.3428 5.5232 0.0000
Pb 2.8376 1.3428 0.0000
Pb 5.5232 7.0179 0.0000
Pb 7.0179 2.8376 0.0000

Stability summary - winner: *R*; margin: 27 meV/atom.

*P*
! Ti4ZnPb (PBE, optimized geometry); values from VASP
! DOS at the Fermi energy = 14.8 states/eV/cell
! ρ = 6.69 Mg/m³
&SYSTEM
  ibrav = 0, nat = 12, ntyp = 3
/
ATOMIC_SPECIES
Ti 47.87 Ti.upf
Zn 65.41 Zn.upf
Pb 207.20 Pb.upf
CELL_PARAMETERS angstrom
7.1159 -2.6559 0.0000
7.1159 2.6559 0.0000
-0.9540 0.0000 6.0932
ATOMIC_POSITIONS angstrom
Ti 5.4652 2.1554 3.5344
Ti 7.3356 2.1554 5.6054
Ti 3.8882 0.8075 5.4726
Ti 4.3652 -0.8075 2.4260
Ti 8.9125 0.8075 3.6671
Ti 9.3895 -0.8075 0.6205
Ti 5.9422 -2.1554 0.4878
Ti 7.8126 -2.1554 2.5588
Zn 3.0809 1.3280 3.0466
Zn 3.5579 -1.3280 0.0000
Pb 6.8774 0.5372 1.5233
Pb 6.4004 -0.5372 4.5699

*Q*
! Ti4ZnPb (PBE, optimized geometry); values from VASP
! DOS at the Fermi energy = 3.7 states/eV/cell
! ρ = 7.21 Mg/m³
&SYSTEM
  ibrav = 0, nat = 6, ntyp = 3
/
ATOMIC_SPECIES
Ti 47.87 Ti.upf
Zn 65.41 Zn.upf
Pb 207.20 Pb.upf
CELL_PARAMETERS angstrom
5.0264 -1.7786 0.0000
5.0264 1.7786 0.0000
-1.9194 0.0000 5.9811
ATOMIC_POSITIONS angstrom
Ti 0.9895 0.0000 2.1124
Ti 0.1747 0.0000 4.8950
Ti 7.9588 0.0000 1.0862
Ti 7.1440 0.0000 3.8687
Zn 4.0667 0.0000 2.9906
Pb 5.0264 0.0000 0.0000

Stability summary - winner: *Q*; margin: 347 meV/atom.

*P*
! Ti2Zn2Pb (PBE, optimized geometry); values from VASP
! DOS at the Fermi energy = 8.3 states/eV/cell
! ρ = 7.63 Mg/m³
&SYSTEM
  ibrav = 0, nat = 10, ntyp = 3
/
ATOMIC_SPECIES
Ti 47.87 Ti.upf
Zn 65.41 Zn.upf
Pb 207.20 Pb.upf
CELL_PARAMETERS angstrom
7.6116 0.0000 0.0000
0.0000 7.6116 0.0000
0.0000 0.0000 3.2575
ATOMIC_POSITIONS angstrom
Ti 0.9365 2.8693 0.0000
Ti 2.8693 6.6751 0.0000
Ti 4.7423 0.9365 0.0000
Ti 6.6751 4.7423 0.0000
Zn 1.3138 5.1196 1.6287
Zn 2.4920 1.3138 1.6287
Zn 5.1196 6.2978 1.6287
Zn 6.2978 2.4920 1.6287
Pb 0.0000 0.0000 0.0000
Pb 3.8058 3.8058 0.0000

*Q*
! Ti2Zn2Pb (PBE, optimized geometry); values from VASP
! DOS at the Fermi energy = 12.9 states/eV/cell
! ρ = 8.08 Mg/m³
&SYSTEM
  ibrav = 0, nat = 10, ntyp = 3
/
ATOMIC_SPECIES
Ti 47.87 Ti.upf
Zn 65.41 Zn.upf
Pb 207.20 Pb.upf
CELL_PARAMETERS angstrom
7.3699 0.0000 0.0000
0.0000 7.3699 0.0000
0.0000 0.0000 3.2835
ATOMIC_POSITIONS angstrom
Ti 1.2955 2.3894 0.0000
Ti 2.3894 6.0744 0.0000
Ti 4.9805 1.2955 0.0000
Ti 6.0744 4.9805 0.0000
Zn 0.8723 4.5573 1.6418
Zn 2.8126 0.8723 1.6418
Zn 4.5573 6.4976 1.6418
Zn 6.4976 2.8126 1.6418
Pb 0.0000 0.0000 1.6418
Pb 3.6850 3.6850 1.6418

*R*
! Ti2Zn2Pb (PBE, optimized geometry); values from VASP
! DOS at the Fermi energy = 5.3 states/eV/cell
! ρ = 7.28 Mg/m³
&SYSTEM
  ibrav = 0, nat = 5, ntyp = 3
/
ATOMIC_SPECIES
Ti 47.87 Ti.upf
Zn 65.41 Zn.upf
Pb 207.20 Pb.upf
CELL_PARAMETERS angstrom
-2.0621 2.0621 5.8178
2.0621 -2.0621 5.8178
2.0621 2.0621 -5.8178
ATOMIC_POSITIONS angstrom
Ti 2.0621 0.0000 2.9089
Ti 0.0000 2.0621 2.9089
Zn 0.0000 0.0000 1.2127
Zn 0.0000 0.0000 10.4228
Pb 0.0000 0.0000 5.8178

Stability summary - winner: *Q*; margin: 62 meV/atom.

*P*
! TiZnPb (PBE, optimized geometry); values from VASP
! DOS at the Fermi energy = 3.6 states/eV/cell
! ρ = 9.03 Mg/m³
&SYSTEM
  ibrav = 0, nat = 6, ntyp = 3
/
ATOMIC_SPECIES
Ti 47.87 Ti.upf
Zn 65.41 Zn.upf
Pb 207.20 Pb.upf
CELL_PARAMETERS angstrom
5.2095 -1.9799 0.0000
5.2095 1.9799 0.0000
-2.3422 0.0000 5.7139
ATOMIC_POSITIONS angstrom
Ti 0.0000 0.0000 0.0000
Ti 6.2895 0.0000 1.8542
Zn -0.8773 0.0000 2.6251
Zn 3.4772 0.0000 1.0295
Pb 2.1567 0.0000 3.6301
Pb 5.0538 0.0000 4.8881

*Q*
! TiZnPb (PBE, optimized geometry); values from VASP
! DOS at the Fermi energy = 4.0 states/eV/cell
! ρ = 8.65 Mg/m³
&SYSTEM
  ibrav = 0, nat = 6, ntyp = 3
/
ATOMIC_SPECIES
Ti 47.87 Ti.upf
Zn 65.41 Zn.upf
Pb 207.20 Pb.upf
CELL_PARAMETERS angstrom
7.6600 -2.0602 0.0000
7.6600 2.0602 0.0000
-1.0614 0.0000 3.8973
ATOMIC_POSITIONS angstrom
Ti 0.0000 0.0000 0.0000
Ti 9.6271 0.0000 0.5298
Zn 4.9630 0.0000 3.4538
Zn 7.2043 0.0000 1.9680
Pb 1.7667 0.0000 2.5706
Pb 12.4652 0.0000 1.3156

Stability summary - winner: *Q*; margin: 25 meV/atom.

*P*
! TiZnPb (PBE, optimized geometry); values from VASP
! DOS at the Fermi energy = 4.3 states/eV/cell
! ρ = 8.77 Mg/m³
&SYSTEM
  ibrav = 0, nat = 6, ntyp = 3
/
ATOMIC_SPECIES
Ti 47.87 Ti.upf
Zn 65.41 Zn.upf
Pb 207.20 Pb.upf
CELL_PARAMETERS angstrom
5.0766 -2.1067 0.0000
5.0766 2.1067 0.0000
-0.4480 0.0000 5.6745
ATOMIC_POSITIONS angstrom
Ti 0.0000 0.0000 0.0000
Ti 5.8250 0.0000 4.0518
Zn 1.6556 0.0000 2.4938
Zn 6.3491 0.0000 1.1582
Pb 2.5980 0.0000 5.2861
Pb 8.9380 0.0000 2.7815

*Q*
! TiZnPb (PBE, optimized geometry); values from VASP
! DOS at the Fermi energy = 4.4 states/eV/cell
! ρ = 8.55 Mg/m³
&SYSTEM
  ibrav = 0, nat = 6, ntyp = 3
/
ATOMIC_SPECIES
Ti 47.87 Ti.upf
Zn 65.41 Zn.upf
Pb 207.20 Pb.upf
CELL_PARAMETERS angstrom
4.9182 0.0000 0.0000
0.0000 3.1694 0.0000
-1.3328 0.0000 7.9840
ATOMIC_POSITIONS angstrom
Ti 0.0000 0.0000 0.0000
Ti 0.3206 1.5847 2.2517
Zn 1.2573 0.0000 4.3050
Zn 2.8494 0.0000 2.2451
Pb 1.1154 1.5847 7.7353
Pb 3.7043 1.5847 5.1522

Stability summary - winner: *P*; margin: 11 meV/atom.

*P*
! TiZnPb (PBE, optimized geometry); values from VASP
! DOS at the Fermi energy = 1.4 states/eV/cell
! ρ = 8.74 Mg/m³
&SYSTEM
  ibrav = 0, nat = 3, ntyp = 3
/
ATOMIC_SPECIES
Ti 47.87 Ti.upf
Zn 65.41 Zn.upf
Pb 207.20 Pb.upf
CELL_PARAMETERS angstrom
4.3386 0.0000 0.0000
-2.1693 3.7573 0.0000
0.0000 0.0000 3.7369
ATOMIC_POSITIONS angstrom
Ti 0.0000 0.0000 0.0000
Zn 0.0000 2.5049 0.9108
Pb 2.1693 1.2524 2.1052

*Q*
! TiZnPb (PBE, optimized geometry); values from VASP
! DOS at the Fermi energy = 3.8 states/eV/cell
! ρ = 8.77 Mg/m³
&SYSTEM
  ibrav = 0, nat = 6, ntyp = 3
/
ATOMIC_SPECIES
Ti 47.87 Ti.upf
Zn 65.41 Zn.upf
Pb 207.20 Pb.upf
CELL_PARAMETERS angstrom
5.6051 -1.5891 0.0000
5.6051 1.5891 0.0000
-3.0266 0.0000 6.8101
ATOMIC_POSITIONS angstrom
Ti 0.0000 0.0000 0.0000
Ti 7.3971 0.0000 1.5881
Zn 0.1335 0.0000 6.6663
Zn 4.3168 0.0000 5.3248
Pb 1.6431 0.0000 4.2282
Pb 4.4996 0.0000 2.3724

*R*
! TiZnPb (PBE, optimized geometry); values from VASP
! DOS at the Fermi energy = 3.6 states/eV/cell
! ρ = 8.84 Mg/m³
&SYSTEM
  ibrav = 0, nat = 6, ntyp = 3
/
ATOMIC_SPECIES
Ti 47.87 Ti.upf
Zn 65.41 Zn.upf
Pb 207.20 Pb.upf
CELL_PARAMETERS angstrom
5.6334 -1.5910 0.0000
5.6334 1.5910 0.0000
-2.3636 0.0000 6.7175
ATOMIC_POSITIONS angstrom
Ti 0.0000 0.0000 0.0000
Ti 6.6525 0.0000 2.1131
Zn -0.7893 0.0000 3.9862
Zn 5.3978 0.0000 6.1313
Pb 2.0426 0.0000 4.5612
Pb 3.6256 0.0000 1.5847

Stability summary - winner: *Q*; margin: 36 meV/atom.